a:
! Na2GeC SCAN single point on PBEsol structure; values from VASP
! space group	Fm-3m
&SYSTEM
  ibrav = 0, nat = 16, ntyp = 3
/
ATOMIC_SPECIES
Na 22.99 Na.upf
Ge 72.64 Ge.upf
C 12.01 C.upf
CELL_PARAMETERS angstrom
6.4352 0.0000 0.0000
0.0000 6.4352 0.0000
0.0000 0.0000 6.4352
ATOMIC_POSITIONS angstrom
Na 1.6088 1.6088 1.6088
Na 1.6088 1.6088 4.8264
Na 1.6088 4.8264 1.6088
Na 1.6088 4.8264 4.8264
Na 4.8264 1.6088 1.6088
Na 4.8264 1.6088 4.8264
Na 4.8264 4.8264 1.6088
Na 4.8264 4.8264 4.8264
Ge 0.0000 0.0000 0.0000
Ge 0.0000 3.2176 3.2176
Ge 3.2176 0.0000 3.2176
Ge 3.2176 3.2176 0.0000
C 0.0000 0.0000 3.2176
C 0.0000 3.2176 0.0000
C 3.2176 0.0000 0.0000
C 3.2176 3.2176 3.2176

***

b:
! Na2GeC SCAN single point on PBEsol structure; values from VASP
! space group	I-42d
&SYSTEM
  ibrav = 0, nat = 16, ntyp = 3
/
ATOMIC_SPECIES
Na 22.99 Na.upf
Ge 72.64 Ge.upf
C 12.01 C.upf
CELL_PARAMETERS angstrom
3.6550 0.0000 0.0000
0.0000 3.6550 0.0000
0.0000 0.0000 19.0930
ATOMIC_POSITIONS angstrom
Na 0.8007 0.9138 2.3866
Na 0.9138 2.6282 7.1599
Na 0.9138 2.8543 16.7063
Na 1.0268 0.9138 11.9331
Na 2.6282 2.7413 11.9331
Na 2.7413 0.8007 16.7063
Na 2.7413 1.0268 7.1599
Na 2.8543 2.7413 2.3866
Ge 0.0000 0.0000 9.5465
Ge 0.0000 1.8275 14.3197
Ge 1.8275 0.0000 4.7732
Ge 1.8275 1.8275 0.0000
C 0.0000 0.0000 0.0000
C 0.0000 1.8275 4.7732
C 1.8275 0.0000 14.3197
C 1.8275 1.8275 9.5465

***

Verdict on stability: a comes out on top.